No. 1
Entry from Alexandria via LeMat-Bulk: BaTaSCl2 after structural relaxation (PBEsol).

Structure (POSCAR):
```
BaTaSCl2
1.0
4.8600 0.0000 0.0000
0.0000 4.8389 0.0000
0.0000 0.0000 4.8389
Ba S Cl Ta
1 1 2 1
direct
0.5000 0.5000 0.5000 Ba
0.5000 0.0000 0.0000 S
0.0000 0.5000 0.0000 Cl
0.0000 0.0000 0.5000 Cl
0.0000 0.0000 0.0000 Ta
```

Values from the calculation:
Its crystal system is tetragonal. The uncorrected formation energy comes out at -5.8 eV/f.u.



No. 2
Entry from Alexandria via LeMat-Bulk: LaRe2As after structural relaxation (PBEsol).

Structure (POSCAR):
```
LaRe2As
1.0
4.6736 0.0000 0.0000
2.3368 4.0474 0.0000
2.3368 1.3491 3.8160
Re La As
2 1 1
direct
0.7500 0.7500 0.7500 Re
0.0000 0.0000 0.0000 Re
0.2500 0.2500 0.2500 La
0.5000 0.5000 0.5000 As
```

Values from the calculation:
Its crystal system is cubic. As for the formation energy from the elements: 13.61 kcal/mol of atoms.



No. 3
Entry from Alexandria via LeMat-Bulk: CoSbPb2 after structural relaxation (PBEsol).

Structure (POSCAR):
```
CoSbPb2
1.0
4.4488 0.0000 0.0000
0.0000 4.4488 0.0000
0.0000 0.0000 4.7578
Sb Pb Co
1 2 1
direct
0.5000 0.5000 0.5000 Sb
0.0000 0.5000 0.0000 Pb
0.5000 0.0000 0.0000 Pb
0.0000 0.0000 0.5000 Co
```

Values from the calculation:
Its crystal system is tetragonal. The uncorrected formation energy comes out at 2.3 eV/f.u.



No. 4
Entry from Alexandria via LeMat-Bulk: Ba2YTlCu2O7 after structural relaxation (PBEsol).

Structure (POSCAR):
```
Ba2YTlCu2O7
1.0
3.8204 0.0000 0.0000
0.0000 3.8204 0.0000
0.0000 0.0000 12.5416
Tl Cu O Ba Y
1 2 7 2 1
direct
0.0000 0.0000 0.0000 Tl
0.0000 0.0000 0.6271 Cu
0.0000 0.0000 0.3729 Cu
0.0000 0.5000 0.3870 O
0.5000 0.0000 0.6130 O
0.0000 0.0000 0.8333 O
0.0000 0.0000 0.1667 O
0.0000 0.5000 0.6130 O
0.5000 0.0000 0.3870 O
0.5000 0.5000 0.0000 O
0.5000 0.5000 0.2083 Ba
0.5000 0.5000 0.7917 Ba
0.5000 0.5000 0.5000 Y
```

Values from the calculation:
Its crystal system is tetragonal. The uncorrected formation energy comes out at -24.3 eV/f.u.



No. 5
Entry from Alexandria via LeMat-Bulk: CsKCuHg2 after structural relaxation (PBEsol).

Structure (POSCAR):
```
CsKCuHg2
1.0
6.1777 0.0000 0.0000
0.0000 6.1777 0.0000
0.0000 0.0000 7.7191
K Hg Cu Cs
1 2 1 1
direct
0.0000 0.0000 0.0000 K
0.5000 0.0000 0.0000 Hg
0.0000 0.5000 0.0000 Hg
0.5000 0.5000 0.5000 Cu
0.0000 0.0000 0.5000 Cs
```

Values from the calculation:
Its crystal system is tetragonal. As for the formation energy from the elements: 15.88 kcal/mol of atoms.



No. 6
Entry from Alexandria via LeMat-Bulk: TaCu3Te4 after structural relaxation (PBEsol).

Structure (POSCAR):
```
TaCu3Te4
1.0
5.8471 0.0000 0.0000
0.0000 5.8471 0.0000
0.0000 0.0000 5.8471
Ta Cu Te
1 3 4
direct
0.0000 0.0000 0.0000 Ta
0.5000 0.0000 0.0000 Cu
0.0000 0.5000 0.0000 Cu
0.0000 0.0000 0.5000 Cu
0.2617 0.7383 0.7383 Te
0.7383 0.7383 0.2617 Te
0.7383 0.2617 0.7383 Te
0.2617 0.2617 0.2617 Te
```

Values from the calculation:
Its crystal system is cubic. The uncorrected formation energy comes out at -1.7 eV/f.u.



No. 7
Entry from Alexandria via LeMat-Bulk: YGeAsSe2 after structural relaxation (PBEsol).

Structure (POSCAR):
```
YGeAsSe2
1.0
4.8241 0.0000 0.0000
0.0000 4.9231 0.0000
0.0000 0.0000 4.9231
Se Y Ge As
2 1 1 1
direct
0.0000 0.0000 0.5000 Se
0.0000 0.5000 0.0000 Se
0.5000 0.5000 0.5000 Y
0.0000 0.0000 0.0000 Ge
0.5000 0.0000 0.0000 As
```

Values from the calculation:
Its crystal system is tetragonal. The uncorrected formation energy comes out at -1.4 eV/f.u.



No. 8
Entry from Alexandria via LeMat-Bulk: MgMnBe2 after structural relaxation (PBEsol).

Structure (POSCAR):
```
MgMnBe2
1.0
2.4372 0.0000 0.0000
-1.2186 3.9091 0.0066
0.0000 -0.5068 4.8859
Be Mn Mg
2 1 1
direct
0.7571 0.5141 0.8198 Be
0.2429 0.4859 0.1802 Be
0.5000 0.0000 0.0000 Mn
0.0000 0.0000 0.5000 Mg
```

Values from the calculation:
Its crystal system is monoclinic. As for the formation energy from the elements: 7.96 kcal/mol of atoms.



No. 9
Entry from Alexandria via LeMat-Bulk: AgP2Cl after structural relaxation (PBEsol).

Structure (POSCAR):
```
AgP2Cl
1.0
3.2528 0.0000 0.0000
0.0000 4.6069 -0.2101
0.0000 -1.5412 5.9856
P Ag Cl
2 1 1
direct
0.0000 0.4415 0.2696 P
0.5000 0.4998 0.0480 P
0.0000 0.9996 0.4032 Ag
0.5000 0.0591 0.7792 Cl
```

Values from the calculation:
Its crystal system is monoclinic. The uncorrected formation energy comes out at -0.4 eV/f.u.



No. 10
Entry from Alexandria via LeMat-Bulk: CaCoAg after structural relaxation (PBEsol).

Structure (POSCAR):
```
CaCoAg
1.0
3.0751 0.0000 0.0000
0.0000 3.6555 0.0000
-1.5375 -1.8277 4.9550
Ca Ag Co
1 1 1
direct
0.6701 0.6701 0.3402 Ca
0.9680 0.9680 0.9360 Ag
0.3619 0.3619 0.7238 Co
```

Values from the calculation:
Its crystal system is orthorhombic. As for the formation energy from the elements: 7.66 kcal/mol of atoms.



No. 11
Entry from Alexandria via LeMat-Bulk: LaYSc2 after structural relaxation (PBEsol).

Structure (POSCAR):
```
LaYSc2
1.0
-0.3575 3.2561 0.9457
-2.4275 0.8708 2.2301
6.0901 -0.2581 9.3364
Sc La Y
2 1 1
direct
0.0041 0.0041 0.9877 Sc
0.7469 0.7469 0.7594 Sc
0.2534 0.2534 0.2397 La
0.4956 0.4956 0.5132 Y
```

Values from the calculation:
Its crystal system is trigonal. As for the formation energy from the elements: 1.56 kcal/mol of atoms.



No. 12
Entry from Alexandria via LeMat-Bulk: MnTcPb after structural relaxation (PBEsol).

Structure (POSCAR):
```
MnTcPb
1.0
2.9751 0.0000 0.0000
0.0000 2.9751 0.0000
-1.4875 -1.4875 5.5758
Pb Mn Tc
1 1 1
direct
0.6648 0.6648 0.3296 Pb
0.9777 0.9777 0.9553 Mn
0.3575 0.3575 0.7150 Tc
```

Values from the calculation:
Its crystal system is tetragonal. As for the formation energy from the elements: 12.43 kcal/mol of atoms.



We obtain calculated total energy values of -5.79 -8.69 -4.50 -6.42 -0.82 -5.17 -5.20 -4.52 -4.32 -4.06 -6.28 -7.80 eV/atom for the records listed above, in that order.